A relaxed MgPaZnPt crystal. Source: Alexandria via LeMat-Bulk, functional PBE.

The energy of formation from the pure elements is -0.49 eV per atom. The calculation puts the density of states at the Fermi level at 0.85 states/eV per atom.

It has space group F-43m (No. 216), with a = 6.808 Å, b = 6.808 Å, c = 6.808 Å, α = 90.00°, β = 90.00° and γ = 90.00°. Symmetry generates all atoms from Mg at (0.000, 0.000, 0.000), Pa at (0.000, 0.000, 0.500), Zn at (0.250, 0.250, 0.250) and Pt at (0.250, 0.250, 0.750).


A relaxed ScSiICl2 crystal. Source: Alexandria via LeMat-Bulk, functional PBE.

The calculation puts the density of states at the Fermi level at 0.58 states/eV per atom. As for the formation energy (no corrections): -0.596 eV/atom.

It has space group P4/mmm (No. 123), with a = 4.887 Å, b = 4.887 Å, c = 6.177 Å, α = 90.00°, β = 90.00° and γ = 90.00°. Symmetry generates all atoms from Sc at (0.000, 0.000, 0.000), Si at (0.500, 0.500, 0.500), I at (0.000, 0.000, 0.500) and Cl at (0.000, 0.500, 0.000).


A relaxed HfThN2 crystal. Source: Alexandria via LeMat-Bulk, functional PBE.

The calculation puts the density of states at the Fermi level at 0.45 states/eV per atom. As for the formation energy (no corrections): -1.077 eV/atom.

It has space group R3m (No. 160, hexagonal axes), with a = 3.4476 Å, b = 3.4476 Å, c = 19.7012 Å, α = 90.00°, β = 90.00° and γ = 120.00°. Symmetry generates all atoms from Hf at (0.0000, 0.0000, 0.0000), Th at (0.0000, 0.0000, 0.1632), N at (0.0000, 0.0000, 0.3750) and N at (0.0000, 0.0000, 0.8993).